Compound: CrInCl3
Source: Alexandria
Functional: PBEsol
Structure: optimized geometry

Computed properties:
Its space group is Pm-3m (221). The formation energy without anion corrections is -0.830 eV/atom.

```
CrInCl3
1.0
4.850 0.000 0.000
0.000 4.850 0.000
0.000 0.000 4.850
Cr In Cl
1 1 3
Cartesian
0.000 0.000 0.000 Cr
2.425 2.425 2.425 In
0.000 0.000 2.425 Cl
0.000 2.425 0.000 Cl
2.425 0.000 0.000 Cl
```

Compound: Cr2InCl
Source: Alexandria
Functional: PBEsol
Structure: optimized geometry

Computed properties:
Its space group is R3m (160). Its energy relative to the lowest polymorph listed for this composition is 0.000 eV/atom. The formation energy without anion corrections is 0.162 eV/atom.

```
Cr2InCl
1.0
1.497 0.864 8.919
-1.497 0.864 8.919
0.000 -1.728 8.919
Cr In Cl
2 1 1
Cartesian
0.000 0.000 0.000 Cr
0.000 0.000 7.400 Cr
0.000 0.000 20.181 In
0.000 0.000 14.620 Cl
```

Compound: Cr2InCl
Source: Alexandria
Functional: PBEsol
Structure: optimized geometry

Computed properties:
Its space group is R-3m (166). Its energy relative to the lowest polymorph listed for this composition is 0.197 eV/atom. The formation energy without anion corrections is 0.359 eV/atom.

```
Cr2InCl
1.0
1.631 0.942 7.951
-1.631 0.942 7.951
0.000 -1.883 7.951
Cr In Cl
2 1 1
Cartesian
0.000 0.000 5.847 Cr
0.000 0.000 18.005 Cr
0.000 0.000 0.000 In
0.000 0.000 11.926 Cl
```

> Among the records above, which one has the lowest formation energy without anion corrections?

CrInCl3

Please write out number 3 again, unchanged.
Compound: Cr2InCl
Source: Alexandria
Functional: PBEsol
Structure: optimized geometry

Computed properties:
Its space group is R-3m (166). Its energy relative to the lowest polymorph listed for this composition is 0.197 eV/atom. The formation energy without anion corrections is 0.359 eV/atom.

```
Cr2InCl
1.0
1.631 0.942 7.951
-1.631 0.942 7.951
0.000 -1.883 7.951
Cr In Cl
2 1 1
Cartesian
0.000 0.000 5.847 Cr
0.000 0.000 18.005 Cr
0.000 0.000 0.000 In
0.000 0.000 11.926 Cl
```